# 1
The following is a PBE-GGA calculation of a relaxed ErBi2Pb crystal, from Alexandria via LeMat-Bulk.

Output
energy above the lowest structure with this stoichiometry = 1.6 kJ per mole of atoms
energy of formation from the pure elements = -0.30 eV/atom
electronic total energy = -4.309 eV per atom

Unit cell a=6.844 b=6.844 c=6.843 alpha=75.24 beta=75.40 gamma=119.56
Fractional positions:
Pb 0.500 0.750 0.750
Bi 0.500 0.750 0.250
Bi 0.500 0.250 0.750
Pb 0.500 0.250 0.250
Er 0.000 0.250 0.750
Bi 0.000 0.750 0.750
Bi 0.000 0.250 0.250
Er 0.000 0.750 0.250

=====

# 2
The following is a PBE-GGA calculation of a relaxed AcHf2Se4 crystal, from Alexandria via LeMat-Bulk.

Output
E_form (uncorrected) = -1354.0 meV per atom
electronic total energy = -6.776 eV per atom

Unit cell a=4.180 b=6.676 c=13.145 alpha=90.00 beta=90.00 gamma=108.24
Fractional positions:
Ac 0.379 0.757 0.250
Se 0.240 0.479 0.610
Se 0.240 0.479 0.890
Se 0.500 0.000 0.000
Hf 0.112 0.224 0.446
Se 0.760 0.521 0.390
Ac 0.621 0.243 0.750
Se 0.500 0.000 0.500
Hf 0.888 0.776 0.554
Se 0.940 0.880 0.750
Hf 0.112 0.224 0.054
Se 0.760 0.521 0.110
Hf 0.888 0.776 0.946
Se 0.060 0.120 0.250

=====

# 3
The following is a PBE-GGA calculation of a relaxed Cs8BrCl3O2 crystal, from Alexandria via LeMat-Bulk.

Output
E_form (uncorrected) = -1399.9 meV per atom
electronic total energy = -3.111 eV per atom

Unit cell a=8.229 b=8.229 c=12.397 alpha=90.00 beta=90.00 gamma=120.00
Fractional positions:
Cs 0.837 0.674 0.727
Cl 0.333 0.667 0.703
Br 0.000 0.000 0.500
O 0.333 0.667 0.188
Cs 0.333 0.667 0.973
Cs 0.163 0.837 0.273
Cl 0.000 0.000 0.000
Cs 0.326 0.163 0.727
Cs 0.837 0.163 0.727
Cs 0.667 0.333 0.027
O 0.667 0.333 0.812
Cl 0.667 0.333 0.297
Cs 0.163 0.326 0.273
Cs 0.674 0.837 0.273

=====

# 4
The following is a PBE-GGA calculation of a relaxed NdEr2RuO8 crystal, from Alexandria via LeMat-Bulk.

Output
E_form (uncorrected) = -2374.2 meV per atom
electronic total energy = -7.610 eV per atom

Unit cell a=5.047 b=5.042 c=6.826 alpha=90.00 beta=90.00 gamma=89.63
Fractional positions:
O 0.732 0.734 0.000
O 0.186 0.812 0.796
Er 0.500 0.500 0.750
O 0.186 0.812 0.204
Ru 0.000 0.000 0.000
Er 0.500 0.500 0.250
O 0.814 0.188 0.204
O 0.318 0.316 0.500
Nd 0.000 0.000 0.500
O 0.814 0.188 0.796
O 0.268 0.266 0.000
O 0.682 0.684 0.500

=====

Number 1: calculated volume 30.11 Å³/atom. Number 2: calculated volume 24.88 Å³/atom. Number 3: calculated volume 51.93 Å³/atom. Number 4: calculated volume 14.48 Å³/atom.